Sr2TaMn after structural relaxation. Source: Alexandria, functional PBE-GGA.

Calculated values
Formation energy from the elements, eV per formula unit: 1.9
Energy above the most stable polymorph in this dataset, eV/atom: 0.0000
Space group: No. 99
VASP energy, eV/atom: -5.62

Geometry as POSCAR:
```
Sr2TaMn
1.0
3.488 0.000 0.000
0.000 3.488 0.000
0.000 0.000 9.522
Sr Ta Mn
2 1 1
Cartesian
0.000 0.000 0.000
1.744 1.744 3.713
0.000 0.000 6.244
1.744 1.744 7.111
```